[1]
DFT (PBE-GGA) results for a relaxed Sm2HoSi4Au4 crystal.

Properties
total magnetization	0.00	μB/f.u.
uncorrected energy	-5.1647	eV/atom

abc: 12.8851 12.8851 12.8851
angles: 161.33 160.93 26.81
Fractional coordinates of all 11 atoms:
Sm1 0.1474 0.1474 0.0000
Sm2 0.8526 0.8526 0.0000
Ho1 0.5000 0.0000 0.5000
Si1 0.0466 0.5466 0.5000
Si2 0.3101 0.3101 0.0000
Si3 0.6899 0.6899 0.0000
Si4 0.9534 0.4534 0.5000
Au1 0.2493 0.7493 0.5000
Au2 0.4073 0.4073 0.0000
Au3 0.5927 0.5927 0.0000
Au4 0.7507 0.2507 0.5000


[2]
DFT (PBE-GGA) results for a relaxed SiAgGe crystal.

Properties
uncorrected energy	-3.9724	eV/atom

abc: 4.3732 4.3732 4.3732
angles: 60.00 60.00 60.00
Fractional coordinates of all 3 atoms:
Si1 0.0000 0.0000 0.0000
Ag1 0.7500 0.7500 0.7500
Ge1 0.2500 0.2500 0.2500


[3]
DFT (PBE-GGA) results for a relaxed Na2NpS3 crystal.

Properties
total magnetization	3.00	μB/f.u.
uncorrected energy	-5.8187	eV/atom
distance to the lowest polymorph of the same formula	0.105	eV per atom

abc: 7.7049 7.7049 10.8750
angles: 90.00 90.00 149.16
Fractional coordinates of all 12 atoms:
Na1 0.1184 0.8816 0.7500
Na2 0.1316 0.8684 0.2500
Na3 0.8684 0.1316 0.7500
Na4 0.8816 0.1184 0.2500
Np1 0.5000 0.5000 0.0000
Np2 0.5000 0.5000 0.5000
S1 0.1187 0.8813 0.5017
S2 0.1187 0.8813 0.9983
S3 0.4942 0.5058 0.7500
S4 0.5058 0.4942 0.2500
S5 0.8813 0.1187 0.0017
S6 0.8813 0.1187 0.4983


[4]
DFT (PBE-GGA) results for a relaxed NbCuSiNi crystal.

Properties
total magnetization	0.00	μB/f.u.
uncorrected energy	-6.2887	eV/atom
distance to the lowest polymorph of the same formula	0.062	eV per atom

abc: 4.2154 4.2154 4.2154
angles: 60.00 60.00 60.00
Fractional coordinates of all 4 atoms:
Nb1 0.0000 0.0000 0.0000
Cu1 0.7500 0.7500 0.7500
Si1 0.5000 0.5000 0.5000
Ni1 0.2500 0.2500 0.2500


[5]
DFT (PBE-GGA) results for a relaxed La2GdCd3Ag3 crystal.

Properties
total magnetization	0.03	μB/f.u.
uncorrected energy	-3.1980	eV/atom

abc: 4.2306 7.8821 7.8821
angles: 120.13 90.00 90.00
Fractional coordinates of all 9 atoms:
La1 0.0000 0.2053 0.7947
La2 0.0000 0.7947 0.2053
Gd1 0.0000 0.3840 0.3840
Cd1 0.5000 0.0478 0.0478
Cd2 0.5000 0.5443 0.7919
Cd3 0.5000 0.7919 0.5443
Ag1 0.0000 0.7896 0.7896
Ag2 0.5000 0.1349 0.4599
Ag3 0.5000 0.4599 0.1349


[6]
DFT (PBE-GGA) results for a relaxed LuBeTlS3 crystal.

Properties
total magnetization	0.00	μB/f.u.
uncorrected energy	-5.1317	eV/atom

abc: 7.4667 7.4667 10.2189
angles: 90.00 90.00 150.72
Fractional coordinates of all 12 atoms:
Lu1 0.0000 0.0000 0.0000
Lu2 0.0000 0.0000 0.5000
Be1 0.4630 0.5370 0.7500
Be2 0.5370 0.4630 0.2500
Tl1 0.2522 0.7478 0.2500
Tl2 0.7478 0.2522 0.7500
S1 0.0521 0.9479 0.7500
S2 0.3834 0.6166 0.5788
S3 0.3834 0.6166 0.9212
S4 0.6166 0.3834 0.0788
S5 0.6166 0.3834 0.4212
S6 0.9479 0.0521 0.2500


[7]
DFT (PBE-GGA) results for a relaxed MgZnCoAg crystal.

Properties
total magnetization	0.60	μB/f.u.
uncorrected energy	-3.1453	eV/atom
distance to the lowest polymorph of the same formula	0.000	eV per atom

abc: 4.3863 4.3863 4.3863
angles: 60.00 60.00 60.00
Fractional coordinates of all 4 atoms:
Mg1 0.0000 0.0000 0.0000
Zn1 0.5000 0.5000 0.5000
Co1 0.7500 0.7500 0.7500
Ag1 0.2500 0.2500 0.2500


[8]
DFT (PBE-GGA) results for a relaxed NbIn2 crystal.

Properties
total magnetization	0.03	μB/f.u.
uncorrected energy	-4.6622	eV/atom

abc: 5.6176 5.6176 5.6176
angles: 60.00 60.00 60.00
Fractional coordinates of all 6 atoms:
Nb1 0.1250 0.1250 0.1250
Nb2 0.8750 0.8750 0.8750
In1 0.0000 0.5000 0.5000
In2 0.5000 0.0000 0.5000
In3 0.5000 0.5000 0.0000
In4 0.5000 0.5000 0.5000